i | # DyHoTe | the Alexandria database | GGA-PBE | optimized geometry
# DOS at the Fermi energy, states/eV per atom: 0.637
# M_tot, μB per formula unit: 0.00
# Space-group type: Pnma
data_DyHoTe
_chemical_formula_sum 'Dy4 Ho4 Te4'
_cell_length_a 8.218
_cell_length_b 3.930
_cell_length_c 10.605
_cell_angle_alpha 90.00
_cell_angle_beta 90.00
_cell_angle_gamma 90.00
_space_group_name_H-M_alt 'P 1'
_space_group_IT_number 1
_space_group_name_Hall 'P 1'
loop_
_atom_site_label
_atom_site_type_symbol
_atom_site_fract_x
_atom_site_fract_y
_atom_site_fract_z
Dy1 Dy 0.000 0.250 0.161
Dy2 Dy 0.000 0.750 0.839
Dy3 Dy 0.500 0.250 0.339
Dy4 Dy 0.500 0.750 0.661
Ho1 Ho 0.157 0.250 0.555
Ho2 Ho 0.343 0.750 0.055
Ho3 Ho 0.657 0.250 0.945
Ho4 Ho 0.843 0.750 0.445
Te1 Te 0.201 0.750 0.330
Te2 Te 0.299 0.250 0.830
Te3 Te 0.701 0.750 0.170
Te4 Te 0.799 0.250 0.670



ii | # DyHoTe | the Alexandria database | GGA-PBE | optimized geometry
# DOS at the Fermi energy, states/eV per atom: 0.632
# M_tot, μB per formula unit: 0.00
# Space-group type: I4mm
data_DyHoTe
_chemical_formula_sum 'Dy1 Ho1 Te1'
_cell_length_a 6.383
_cell_length_b 6.383
_cell_length_c 6.383
_cell_angle_alpha 144.87
_cell_angle_beta 144.87
_cell_angle_gamma 50.53
_space_group_name_H-M_alt 'P 1'
_space_group_IT_number 1
_space_group_name_Hall 'P 1'
loop_
_atom_site_label
_atom_site_type_symbol
_atom_site_fract_x
_atom_site_fract_y
_atom_site_fract_z
Dy1 Dy 0.000 0.000 0.000
Ho1 Ho 0.312 0.312 0.000
Te1 Te 0.657 0.657 0.000



iii | # DyHoTe | the Alexandria database | GGA-PBE | optimized geometry
# DOS at the Fermi energy, states/eV per atom: 0.688
# M_tot, μB per formula unit: 0.00
# Space-group type: P3m1
data_DyHoTe
_chemical_formula_sum 'Dy1 Ho1 Te1'
_cell_length_a 5.142
_cell_length_b 5.142
_cell_length_c 3.963
_cell_angle_alpha 90.00
_cell_angle_beta 90.00
_cell_angle_gamma 120.00
_space_group_name_H-M_alt 'P 1'
_space_group_IT_number 1
_space_group_name_Hall 'P 1'
loop_
_atom_site_label
_atom_site_type_symbol
_atom_site_fract_x
_atom_site_fract_y
_atom_site_fract_z
Dy1 Dy 0.000 0.000 0.000
Ho1 Ho 0.667 0.333 0.492
Te1 Te 0.333 0.667 0.254



iv | # DyHoTe | the Alexandria database | GGA-PBE | optimized geometry
# DOS at the Fermi energy, states/eV per atom: 1.025
# M_tot, μB per formula unit: 0.00
# Space-group type: P2_1/m
data_DyHoTe
_chemical_formula_sum 'Dy6 Ho6 Te6'
_cell_length_a 8.426
_cell_length_b 4.010
_cell_length_c 14.873
_cell_angle_alpha 90.00
_cell_angle_beta 90.95
_cell_angle_gamma 90.00
_space_group_name_H-M_alt 'P 1'
_space_group_IT_number 1
_space_group_name_Hall 'P 1'
loop_
_atom_site_label
_atom_site_type_symbol
_atom_site_fract_x
_atom_site_fract_y
_atom_site_fract_z
Dy1 Dy 0.033 0.250 0.291
Dy2 Dy 0.357 0.750 0.907
Dy3 Dy 0.460 0.750 0.613
Dy4 Dy 0.540 0.250 0.387
Dy5 Dy 0.643 0.250 0.093
Dy6 Dy 0.967 0.750 0.709
Ho1 Ho 0.003 0.250 0.904
Ho2 Ho 0.138 0.250 0.548
Ho3 Ho 0.359 0.750 0.207
Ho4 Ho 0.641 0.250 0.793
Ho5 Ho 0.862 0.750 0.452
Ho6 Ho 0.997 0.750 0.096
Te1 Te 0.257 0.750 0.408
Te2 Te 0.269 0.250 0.749
Te3 Te 0.274 0.250 0.056
Te4 Te 0.726 0.750 0.944
Te5 Te 0.731 0.750 0.251
Te6 Te 0.743 0.250 0.592



Result of the stability comparison: iii is the least stable of them.



i | # DyHo2Te | the Alexandria database | GGA-PBE | optimized geometry
# DOS at the Fermi energy, states/eV per atom: 1.232
# M_tot, μB per formula unit: 0.00
# Space-group type: Cmcm
data_DyHo2Te
_chemical_formula_sum 'Dy2 Ho4 Te2'
_cell_length_a 6.345
_cell_length_b 6.345
_cell_length_c 9.810
_cell_angle_alpha 90.00
_cell_angle_beta 90.00
_cell_angle_gamma 143.96
_space_group_name_H-M_alt 'P 1'
_space_group_IT_number 1
_space_group_name_Hall 'P 1'
loop_
_atom_site_label
_atom_site_type_symbol
_atom_site_fract_x
_atom_site_fract_y
_atom_site_fract_z
Dy1 Dy 0.056 0.944 0.750
Dy2 Dy 0.944 0.056 0.250
Ho1 Ho 0.365 0.635 0.537
Ho2 Ho 0.365 0.635 0.963
Ho3 Ho 0.635 0.365 0.037
Ho4 Ho 0.635 0.365 0.463
Te1 Te 0.235 0.765 0.250
Te2 Te 0.765 0.235 0.750



ii | # DyHo2Te | the Alexandria database | GGA-PBE | optimized geometry
# DOS at the Fermi energy, states/eV per atom: 1.431
# M_tot, μB per formula unit: 1.12
# Space-group type: R-3m
data_DyHo2Te
_chemical_formula_sum 'Dy1 Ho2 Te1'
_cell_length_a 10.982
_cell_length_b 10.982
_cell_length_c 10.982
_cell_angle_alpha 19.83
_cell_angle_beta 19.83
_cell_angle_gamma 19.83
_space_group_name_H-M_alt 'P 1'
_space_group_IT_number 1
_space_group_name_Hall 'P 1'
loop_
_atom_site_label
_atom_site_type_symbol
_atom_site_fract_x
_atom_site_fract_y
_atom_site_fract_z
Dy1 Dy 0.000 0.000 0.000
Ho1 Ho 0.102 0.102 0.102
Ho2 Ho 0.898 0.898 0.898
Te1 Te 0.500 0.500 0.500



Result of the stability comparison: ii is the least stable of them.



i | # DyHo2Te | the Alexandria database | GGA-PBE | optimized geometry
# DOS at the Fermi energy, states/eV per atom: 1.173
# M_tot, μB per formula unit: 0.00
# Space-group type: P4/mmm
data_DyHo2Te
_chemical_formula_sum 'Dy1 Ho2 Te1'
_cell_length_a 3.844
_cell_length_b 3.844
_cell_length_c 7.871
_cell_angle_alpha 90.00
_cell_angle_beta 90.00
_cell_angle_gamma 90.00
_space_group_name_H-M_alt 'P 1'
_space_group_IT_number 1
_space_group_name_Hall 'P 1'
loop_
_atom_site_label
_atom_site_type_symbol
_atom_site_fract_x
_atom_site_fract_y
_atom_site_fract_z
Dy1 Dy 0.000 0.000 0.000
Ho1 Ho 0.500 0.500 0.274
Ho2 Ho 0.500 0.500 0.726
Te1 Te 0.000 0.000 0.500



ii | # DyHo2Te | the Alexandria database | GGA-PBE | optimized geometry
# DOS at the Fermi energy, states/eV per atom: 1.180
# M_tot, μB per formula unit: 0.00
# Space-group type: R3m
data_DyHo2Te
_chemical_formula_sum 'Dy1 Ho2 Te1'
_cell_length_a 9.980
_cell_length_b 9.980
_cell_length_c 9.980
_cell_angle_alpha 22.30
_cell_angle_beta 22.30
_cell_angle_gamma 22.30
_space_group_name_H-M_alt 'P 1'
_space_group_IT_number 1
_space_group_name_Hall 'P 1'
loop_
_atom_site_label
_atom_site_type_symbol
_atom_site_fract_x
_atom_site_fract_y
_atom_site_fract_z
Dy1 Dy 0.000 0.000 0.000
Ho1 Ho 0.573 0.573 0.573
Ho2 Ho 0.761 0.761 0.761
Te1 Te 0.167 0.167 0.167



Result of the stability comparison: ii is the least stable of them.



i | # Dy2HoTe3 | the Alexandria database | GGA-PBE | optimized geometry
# DOS at the Fermi energy, states/eV per atom: 0.780
# M_tot, μB per formula unit: 0.00
# Space-group type: R-3c
data_Dy2HoTe3
_chemical_formula_sum 'Dy4 Ho2 Te6'
_cell_length_a 8.798
_cell_length_b 8.798
_cell_length_c 8.798
_cell_angle_alpha 48.58
_cell_angle_beta 48.58
_cell_angle_gamma 48.58
_space_group_name_H-M_alt 'P 1'
_space_group_IT_number 1
_space_group_name_Hall 'P 1'
loop_
_atom_site_label
_atom_site_type_symbol
_atom_site_fract_x
_atom_site_fract_y
_atom_site_fract_z
Dy1 Dy 0.167 0.167 0.167
Dy2 Dy 0.333 0.333 0.333
Dy3 Dy 0.667 0.667 0.667
Dy4 Dy 0.833 0.833 0.833
Ho1 Ho 0.000 0.000 0.000
Ho2 Ho 0.500 0.500 0.500
Te1 Te 0.084 0.750 0.416
Te2 Te 0.250 0.584 0.916
Te3 Te 0.416 0.084 0.750
Te4 Te 0.584 0.916 0.250
Te5 Te 0.750 0.416 0.084
Te6 Te 0.916 0.250 0.584



ii | # Dy2HoTe3 | the Alexandria database | GGA-PBE | optimized geometry
# DOS at the Fermi energy, states/eV per atom: 0.474
# M_tot, μB per formula unit: 0.00
# Space-group type: Immm
data_Dy2HoTe3
_chemical_formula_sum 'Dy2 Ho1 Te3'
_cell_length_a 7.504
_cell_length_b 7.504
_cell_length_c 7.504
_cell_angle_alpha 146.08
_cell_angle_beta 131.82
_cell_angle_gamma 60.22
_space_group_name_H-M_alt 'P 1'
_space_group_IT_number 1
_space_group_name_Hall 'P 1'
loop_
_atom_site_label
_atom_site_type_symbol
_atom_site_fract_x
_atom_site_fract_y
_atom_site_fract_z
Dy1 Dy 0.168 0.168 0.000
Dy2 Dy 0.832 0.832 0.000
Ho1 Ho 0.500 0.500 0.000
Te1 Te 0.000 0.500 0.500
Te2 Te 0.335 0.835 0.500
Te3 Te 0.665 0.165 0.500



Result of the stability comparison: ii is the least stable of them.